Computed, not measured: a crystal of Hg2PtPb relaxed with PBEsol at the meta-GGA SCAN level of DFT.

Summary:
Formation energy from the elements, eV/atom: 0.141

Unit cell a=6.031 b=6.031 c=4.099 alpha=109.53 beta=109.53 gamma=122.93
Atoms (fractional coordinates):
Hg  0.000  0.500  0.000
Hg  0.500  0.000  0.000
Pt  0.000  0.000  0.500
Pb  0.500  0.500  0.500

---

Computed, not measured: a crystal of Y2ZnRu relaxed with PBEsol at the meta-GGA SCAN level of DFT.

Summary:
Formation energy from the elements, eV/atom: -0.258

Unit cell a=6.462 b=6.462 c=6.462 alpha=38.57 beta=38.57 gamma=38.57
Atoms (fractional coordinates):
Y  0.000  0.000  0.000
Y  0.184  0.184  0.184
Zn  0.760  0.760  0.760
Ru  0.425  0.425  0.425

---

Computed, not measured: a crystal of Tl2POs relaxed with PBEsol at the meta-GGA SCAN level of DFT.

Summary:
Formation energy from the elements, eV/atom: 0.426
Polymorph energy (0 for the lowest one), meV per atom: 18.6

Unit cell a=6.752 b=6.752 c=6.752 alpha=153.86 beta=140.49 gamma=47.99
Atoms (fractional coordinates):
Tl  0.000  0.000  0.000
Tl  0.691  0.191  0.500
P  0.310  0.810  0.500
Os  0.446  0.446  0.000

---

Computed, not measured: a crystal of Ac3Y relaxed with PBEsol at the meta-GGA SCAN level of DFT.

Summary:
Formation energy from the elements, eV/atom: 0.032

Unit cell a=7.683 b=7.683 c=6.150 alpha=90.00 beta=90.00 gamma=120.00
Atoms (fractional coordinates):
Ac  0.169  0.338  0.250
Ac  0.169  0.831  0.250
Ac  0.338  0.169  0.750
Ac  0.662  0.831  0.250
Ac  0.831  0.169  0.750
Ac  0.831  0.662  0.750
Y  0.333  0.667  0.750
Y  0.667  0.333  0.250

---

Computed, not measured: a crystal of Hf3ZnOs relaxed with PBEsol at the meta-GGA SCAN level of DFT.

Summary:
Formation energy from the elements, eV/atom: 0.434

Unit cell a=4.945 b=4.945 c=4.945 alpha=90.00 beta=90.00 gamma=90.00
Atoms (fractional coordinates):
Hf  0.000  0.000  0.500
Hf  0.000  0.500  0.000
Hf  0.500  0.000  0.000
Zn  0.500  0.500  0.500
Os  0.000  0.000  0.000

---

Computed, not measured: a crystal of TlFeC2 relaxed with PBEsol at the meta-GGA SCAN level of DFT.

Summary:
Formation energy from the elements, eV/atom: 2.410
Polymorph energy (0 for the lowest one), meV per atom: 1390.2

Unit cell a=4.012 b=4.012 c=4.012 alpha=60.00 beta=60.00 gamma=60.00
Atoms (fractional coordinates):
Tl  0.000  0.000  0.000
Fe  0.500  0.500  0.500
C  0.250  0.250  0.250
C  0.750  0.750  0.750

---

Computed, not measured: a crystal of NaBe2Au relaxed with PBEsol at the meta-GGA SCAN level of DFT.

Summary:
Formation energy from the elements, eV/atom: 0.043

Unit cell a=4.190 b=4.190 c=4.190 alpha=60.00 beta=60.00 gamma=60.00
Atoms (fractional coordinates):
Na  0.000  0.000  0.000
Be  0.250  0.250  0.250
Be  0.750  0.750  0.750
Au  0.500  0.500  0.500

---

Computed, not measured: a crystal of Sc6InCo2 relaxed with PBEsol at the meta-GGA SCAN level of DFT.

Summary:
Formation energy from the elements, eV/atom: -0.334

Unit cell a=7.696 b=7.696 c=7.696 alpha=111.12 beta=110.75 gamma=106.58
Atoms (fractional coordinates):
Sc  0.019  0.235  0.783
Sc  0.191  0.285  0.476
Sc  0.191  0.715  0.907
Sc  0.313  0.015  0.702
Sc  0.313  0.611  0.298
Sc  0.452  0.235  0.217
Sc  0.548  0.765  0.783
Sc  0.687  0.389  0.702
Sc  0.687  0.985  0.298
Sc  0.809  0.285  0.093
Sc  0.809  0.715  0.524
Sc  0.981  0.765  0.217
In  0.000  0.000  0.000
In  0.500  0.500  0.000
Co  0.118  0.618  0.500
Co  0.369  0.000  0.369
Co  0.631  0.000  0.631
Co  0.882  0.382  0.500

---

Computed, not measured: a crystal of Re2TcTe relaxed with PBEsol at the meta-GGA SCAN level of DFT.

Summary:
Formation energy (no corrections), eV per atom: 0.59

Unit cell a=5.334 b=5.334 c=5.334 alpha=146.62 beta=130.46 gamma=61.06
Atoms (fractional coordinates):
Re  0.232  0.232  0.000
Re  0.768  0.768  0.000
Tc  0.500  0.000  0.500
Te  0.000  0.500  0.500

---

Computed, not measured: a crystal of Zn3SbBr relaxed with PBEsol at the meta-GGA SCAN level of DFT.

Summary:
Formation energy (no corrections), eV per atom: 0.70

Unit cell a=4.934 b=4.934 c=4.934 alpha=90.00 beta=90.00 gamma=90.00
Atoms (fractional coordinates):
Zn  0.000  0.000  0.500
Zn  0.000  0.500  0.000
Zn  0.500  0.000  0.000
Sb  0.500  0.500  0.500
Br  0.000  0.000  0.000

---

Computed, not measured: a crystal of RbBe2Ir2 relaxed with PBEsol at the meta-GGA SCAN level of DFT.

Summary:
Formation energy from the elements, eV/atom: 0.302

Unit cell a=7.513 b=7.513 c=2.663 alpha=90.00 beta=90.00 gamma=90.00
Atoms (fractional coordinates):
Rb  0.000  0.000  0.000
Rb  0.500  0.500  0.000
Be  0.141  0.359  0.000
Be  0.359  0.859  0.000
Be  0.641  0.141  0.000
Be  0.859  0.641  0.000
Ir  0.130  0.630  0.500
Ir  0.370  0.130  0.500
Ir  0.630  0.870  0.500
Ir  0.870  0.370  0.500

---

Computed, not measured: a crystal of Te2Mo2SeS relaxed with PBEsol at the meta-GGA SCAN level of DFT.

Summary:
Formation energy (no corrections), eV per atom: -0.49

Unit cell a=3.339 b=3.339 c=26.728 alpha=90.00 beta=90.00 gamma=120.00
Atoms (fractional coordinates):
Te  0.000  0.000  0.000
Te  0.000  0.000  0.140
Te  0.333  0.667  0.733
Te  0.333  0.667  0.873
Mo  0.000  0.000  0.315
Mo  0.000  0.000  0.803
Mo  0.333  0.667  0.070
Mo  0.333  0.667  0.550
Se  0.000  0.000  0.488
Se  0.000  0.000  0.611
S  0.333  0.667  0.259
S  0.333  0.667  0.371

---

Computed, not measured: a crystal of RbMgAlF6 relaxed with PBEsol at the meta-GGA SCAN level of DFT.

Summary:
Formation energy (no corrections), eV per atom: -3.70

Unit cell a=7.062 b=7.062 c=7.062 alpha=120.36 beta=119.52 gamma=90.10
Atoms (fractional coordinates):
Rb  0.381  0.131  0.250
Rb  0.619  0.869  0.750
Mg  0.000  0.500  0.500
Mg  0.500  0.500  0.000
Al  0.000  0.000  0.500
Al  0.000  0.500  0.000
F  0.052  0.802  0.250
F  0.058  0.421  0.223
F  0.058  0.834  0.637
F  0.303  0.166  0.723
F  0.303  0.579  0.137
F  0.332  0.582  0.750
F  0.668  0.418  0.250
F  0.697  0.421  0.863
F  0.697  0.834  0.277
F  0.942  0.166  0.363
F  0.942  0.579  0.777
F  0.948  0.198  0.750

---

Computed, not measured: a crystal of Tm3Sc relaxed with PBEsol at the meta-GGA SCAN level of DFT.

Summary:
Formation energy from the elements, eV/atom: 0.005

Unit cell a=6.877 b=6.877 c=5.343 alpha=90.00 beta=90.00 gamma=120.00
Atoms (fractional coordinates):
Tm  0.169  0.337  0.250
Tm  0.169  0.831  0.250
Tm  0.337  0.169  0.750
Tm  0.663  0.831  0.250
Tm  0.831  0.169  0.750
Tm  0.831  0.663  0.750
Sc  0.333  0.667  0.750
Sc  0.667  0.333  0.250

---

Computed, not measured: a crystal of BiSe2O relaxed with PBEsol at the meta-GGA SCAN level of DFT.

Summary:
Formation energy (no corrections), eV per atom: 0.54
Polymorph energy (0 for the lowest one), meV per atom: 0.0

Unit cell a=4.790 b=4.790 c=4.790 alpha=60.00 beta=60.00 gamma=60.00
Atoms (fractional coordinates):
Bi  0.000  0.000  0.000
Se  0.250  0.250  0.250
Se  0.750  0.750  0.750
O  0.500  0.500  0.500

---

Computed, not measured: a crystal of TcTe2Pt relaxed with PBEsol at the meta-GGA SCAN level of DFT.

Summary:
Formation energy (no corrections), eV per atom: 0.60
Polymorph energy (0 for the lowest one), meV per atom: 458.5

Unit cell a=8.681 b=8.681 c=8.681 alpha=23.42 beta=23.42 gamma=23.42
Atoms (fractional coordinates):
Tc  0.000  0.000  0.000
Te  0.099  0.099  0.099
Te  0.901  0.901  0.901
Pt  0.500  0.500  0.500

---

Computed, not measured: a crystal of Li2TiSn3P6O24 relaxed with PBEsol at the meta-GGA SCAN level of DFT.

Summary:
Formation energy (no corrections), eV per atom: -2.42

Unit cell a=8.671 b=8.671 c=8.671 alpha=59.91 beta=59.91 gamma=59.91
Atoms (fractional coordinates):
Li  0.000  0.000  0.000
Li  0.493  0.493  0.493
Ti  0.357  0.357  0.357
Sn  0.142  0.142  0.142
Sn  0.641  0.641  0.641
Sn  0.858  0.858  0.858
P  0.047  0.745  0.455
P  0.249  0.543  0.959
P  0.455  0.047  0.745
P  0.543  0.959  0.249
P  0.745  0.455  0.047
P  0.959  0.249  0.543
O  0.017  0.796  0.617
O  0.057  0.912  0.266
O  0.085  0.734  0.951
O  0.120  0.312  0.490
O  0.184  0.392  0.990
O  0.238  0.583  0.430
O  0.266  0.057  0.912
O  0.312  0.490  0.120
O  0.392  0.990  0.184
O  0.409  0.560  0.766
O  0.430  0.238  0.583
O  0.490  0.120  0.312
O  0.494  0.888  0.688
O  0.560  0.766  0.409
O  0.583  0.430  0.238
O  0.617  0.017  0.796
O  0.688  0.494  0.888
O  0.734  0.951  0.085
O  0.766  0.409  0.560
O  0.796  0.617  0.017
O  0.888  0.688  0.494
O  0.912  0.266  0.057
O  0.951  0.085  0.734
O  0.990  0.184  0.392

---

Computed, not measured: a crystal of BeFeAs2 relaxed with PBEsol at the meta-GGA SCAN level of DFT.

Summary:
Formation energy from the elements, eV/atom: 0.324
Polymorph energy (0 for the lowest one), meV per atom: 183.5

Unit cell a=3.075 b=3.075 c=5.555 alpha=90.00 beta=90.00 gamma=90.00
Atoms (fractional coordinates):
Be  0.000  0.000  0.000
Fe  0.000  0.000  0.500
As  0.500  0.500  0.258
As  0.500  0.500  0.742

---

Computed, not measured: a crystal of LaNdCuO4 relaxed with PBEsol at the meta-GGA SCAN level of DFT.

Summary:
Formation energy (no corrections), eV per atom: -2.90
Polymorph energy (0 for the lowest one), meV per atom: 0.0

Unit cell a=6.764 b=6.764 c=6.764 alpha=146.16 beta=146.16 gamma=48.60
Atoms (fractional coordinates):
La  0.000  0.000  0.000
Nd  0.703  0.703  0.000
Cu  0.347  0.347  0.000
O  0.103  0.603  0.500
O  0.348  0.848  0.500
O  0.603  0.103  0.500
O  0.848  0.348  0.500

---

Computed, not measured: a crystal of NaNi3Mo relaxed with PBEsol at the meta-GGA SCAN level of DFT.

Summary:
Formation energy from the elements, eV/atom: 1.189

Unit cell a=4.492 b=4.492 c=4.492 alpha=90.00 beta=90.00 gamma=90.00
Atoms (fractional coordinates):
Na  0.000  0.000  0.000
Ni  0.000  0.500  0.500
Ni  0.500  0.000  0.500
Ni  0.500  0.500  0.000
Mo  0.500  0.500  0.500

---

Computed, not measured: a crystal of SrPSe3 relaxed with PBEsol at the meta-GGA SCAN level of DFT.

Summary:
Formation energy (no corrections), eV per atom: -1.12

Unit cell a=6.953 b=7.715 c=11.758 alpha=90.00 beta=124.49 gamma=90.00
Atoms (fractional coordinates):
Sr  0.215  0.106  0.252
Sr  0.215  0.394  0.752
Sr  0.785  0.606  0.248
Sr  0.785  0.894  0.748
P  0.122  0.608  0.064
P  0.122  0.892  0.564
P  0.878  0.108  0.436
P  0.878  0.392  0.936
Se  0.117  0.195  0.948
Se  0.117  0.305  0.448
Se  0.281  0.706  0.959
Se  0.281  0.794  0.459
Se  0.369  0.002  0.770
Se  0.369  0.498  0.270
Se  0.631  0.502  0.730
Se  0.631  0.998  0.230
Se  0.719  0.206  0.541
Se  0.719  0.294  0.041
Se  0.883  0.695  0.552
Se  0.883  0.805  0.052

---

Computed, not measured: a crystal of SrCdHg2 relaxed with PBEsol at the meta-GGA SCAN level of DFT.

Summary:
Formation energy from the elements, eV/atom: -0.421

Unit cell a=3.669 b=3.860 c=7.161 alpha=90.00 beta=90.14 gamma=90.00
Atoms (fractional coordinates):
Sr  0.000  0.000  0.000
Cd  0.000  0.000  0.500
Hg  0.499  0.500  0.721
Hg  0.501  0.500  0.279

---

Computed, not measured: a crystal of Li2MnRh relaxed with PBEsol at the meta-GGA SCAN level of DFT.

Summary:
Formation energy from the elements, eV/atom: -0.112
Polymorph energy (0 for the lowest one), meV per atom: 114.5

Unit cell a=4.148 b=4.148 c=4.148 alpha=60.00 beta=60.00 gamma=60.00
Atoms (fractional coordinates):
Li  0.250  0.250  0.250
Li  0.750  0.750  0.750
Mn  0.000  0.000  0.000
Rh  0.500  0.500  0.500

---

Computed, not measured: a crystal of Hg2OsCl relaxed with PBEsol at the meta-GGA SCAN level of DFT.

Summary:
Formation energy (no corrections), eV per atom: 0.92

Unit cell a=5.689 b=5.689 c=5.689 alpha=148.49 beta=121.99 gamma=67.52
Atoms (fractional coordinates):
Hg  0.241  0.241  0.000
Hg  0.759  0.759  0.000
Os  0.000  0.500  0.500
Cl  0.500  0.000  0.500

---

Quick rundown of D(E_F), same order as above: 1.60, 3.74, 2.26, 10.45, 7.96, 2.12, 1.10, 14.17, 3.06, 0.81, 8.38, 1.16, 0.00, 12.82, 3.30, 2.80, 0.00, 2.33, 0.40, 5.27, 0.00, 1.61, 1.01, 0.85 states/eV per cell